Entry 1:
CdRe2Ir: relaxed, PBE.

Cell lengths 2.748, 4.095, 5.749 Å; angles 90.00, 90.00, 90.00 degrees
Positions (direct):
Cd 0.000 0.000 0.000
Re 0.500 0.500 0.283
Re 0.500 0.500 0.717
Ir 0.000 0.000 0.500

Results
symmetry: No. 47
ΔH_f (0 K): 430 meV/atom

=====

Entry 2:
MgAlTl2: relaxed, PBE.

Cell lengths 3.270, 3.270, 9.418 Å; angles 90.00, 90.00, 90.00 degrees
Positions (direct):
Mg 0.000 0.000 0.000
Al 0.500 0.500 0.797
Tl 0.000 0.000 0.544
Tl 0.500 0.500 0.247

Results
symmetry: No. 99
relative energy among the computed polymorphs: 0 meV per atom
ΔH_f (0 K): 92 meV/atom

=====

Entry 3:
LiPaGa2: relaxed, PBE.

Cell lengths 4.378, 4.378, 4.197 Å; angles 90.00, 90.00, 90.00 degrees
Positions (direct):
Li 0.000 0.000 0.000
Pa 0.500 0.500 0.000
Ga 0.000 0.500 0.500
Ga 0.500 0.000 0.500

Results
symmetry: No. 123
relative energy among the computed polymorphs: 165 meV per atom
ΔH_f (0 K): -116 meV/atom

=====

Entry 4:
SmEu2Ag: relaxed, PBE.

Cell lengths 11.946, 11.946, 11.946 Å; angles 17.55, 17.55, 17.55 degrees
Positions (direct):
Sm 0.000 0.000 0.000
Eu 0.099 0.099 0.099
Eu 0.901 0.901 0.901
Ag 0.500 0.500 0.500

Results
symmetry: No. 166
relative energy among the computed polymorphs: 249 meV per atom
ΔH_f (0 K): 168 meV/atom

=====

Entry 5:
Tb4Ho5Tm3: relaxed, PBE.

Cell lengths 6.094, 7.043, 8.611 Å; angles 90.00, 89.94, 89.91 degrees
Positions (direct):
Tb 0.166 0.251 0.333
Tb 0.333 0.000 0.667
Tb 0.667 0.000 0.333
Tb 0.834 0.749 0.667
Ho 0.000 0.000 0.000
Ho 0.333 0.500 0.667
Ho 0.499 0.749 0.000
Ho 0.501 0.251 0.000
Ho 0.667 0.500 0.333
Tm 0.000 0.500 0.000
Tm 0.167 0.749 0.332
Tm 0.833 0.251 0.668

Results
symmetry: No. 2
relative energy among the computed polymorphs: 0 meV per atom
ΔH_f (0 K): 20 meV/atom

=====

Entry 6:
LiCe2Pa: relaxed, PBE.

Cell lengths 5.474, 5.474, 3.188 Å; angles 90.00, 90.00, 90.00 degrees
Positions (direct):
Li 0.000 0.000 0.000
Ce 0.000 0.500 0.500
Ce 0.500 0.000 0.500
Pa 0.500 0.500 0.000

Results
symmetry: No. 123
relative energy among the computed polymorphs: 28 meV per atom
ΔH_f (0 K): 150 meV/atom

=====

Entry 7:
AcLa4Pm3: relaxed, PBE.

Cell lengths 9.255, 9.255, 9.255 Å; angles 157.45, 98.59, 85.82 degrees
Positions (direct):
Ac 0.000 0.000 0.000
La 0.122 0.867 0.256
La 0.389 0.133 0.256
La 0.611 0.867 0.744
La 0.878 0.133 0.744
Pm 0.238 0.738 0.500
Pm 0.500 0.500 0.000
Pm 0.762 0.262 0.500

Results
symmetry: No. 71
relative energy among the computed polymorphs: 45 meV per atom
ΔH_f (0 K): 118 meV/atom

=====

Entry 8:
GdHoI: relaxed, PBE.

Cell lengths 7.447, 7.447, 7.447 Å; angles 151.36, 151.36, 40.96 degrees
Positions (direct):
Gd 0.000 0.000 0.000
Ho 0.670 0.670 0.000
I 0.331 0.331 0.000

Results
symmetry: No. 107
raw formation energy: -0.423 eV/atom
relative energy among the computed polymorphs: 100 meV per atom

=====

Entry 9:
Pr2SmYP4: relaxed, PBE.

Cell lengths 7.156, 4.136, 7.158 Å; angles 90.00, 109.46, 90.00 degrees
Positions (direct):
Pr 0.000 0.000 0.000
Pr 0.000 0.500 0.500
Sm 0.500 0.000 0.500
Y 0.500 0.500 0.000
P 0.257 0.500 0.250
P 0.259 0.000 0.755
P 0.741 0.000 0.245
P 0.743 0.500 0.750

Results
symmetry: No. 10
ΔH_f (0 K): -1551 meV/atom

=====

Entry 10:
VFe2PdW: relaxed, PBE.

Cell lengths 4.423, 4.423, 4.846 Å; angles 90.00, 90.00, 90.00 degrees
Positions (direct):
V 0.000 0.000 0.000
Fe 0.000 0.500 0.500
Fe 0.500 0.000 0.500
Pd 0.500 0.500 0.000
W 0.500 0.500 0.500

Results
symmetry: No. 123
ΔH_f (0 K): 1532 meV/atom

=====

Entry 11:
Tm2CuBi: relaxed, PBE.

Cell lengths 3.698, 3.698, 7.115 Å; angles 90.00, 90.00, 90.00 degrees
Positions (direct):
Tm 0.000 0.000 0.223
Tm 0.000 0.000 0.777
Cu 0.500 0.500 0.000
Bi 0.500 0.500 0.500

Results
symmetry: No. 123
relative energy among the computed polymorphs: 115 meV per atom
ΔH_f (0 K): -327 meV/atom

=====

Entry 12:
Na2ScAlSi: relaxed, PBE.

Cell lengths 5.263, 5.263, 4.845 Å; angles 90.00, 90.00, 90.00 degrees
Positions (direct):
Na 0.000 0.500 0.000
Na 0.500 0.000 0.000
Sc 0.000 0.000 0.500
Al 0.500 0.500 0.500
Si 0.500 0.500 0.000

Results
symmetry: No. 123
raw formation energy: 0.589 eV/atom

=====

Entry 13:
Tb7Tl2Ir2: relaxed, PBE.

Cell lengths 6.877, 6.877, 7.136 Å; angles 90.00, 90.00, 106.04 degrees
Positions (direct):
Tb 0.000 0.000 0.000
Tb 0.000 0.500 0.247
Tb 0.000 0.500 0.753
Tb 0.500 0.000 0.247
Tb 0.500 0.000 0.753
Tb 0.500 0.500 0.239
Tb 0.500 0.500 0.761
Tl 0.181 0.181 0.500
Tl 0.819 0.819 0.500
Ir 0.287 0.713 0.000
Ir 0.713 0.287 0.000

Results
symmetry: No. 65
ΔH_f (0 K): -427 meV/atom

=====

Entry 14:
HgBAs2Br: relaxed, PBE.

Cell lengths 5.190, 5.190, 5.878 Å; angles 90.00, 90.00, 90.00 degrees
Positions (direct):
Hg 0.000 0.000 0.000
B 0.500 0.500 0.500
As 0.000 0.500 0.000
As 0.500 0.000 0.000
Br 0.000 0.000 0.500

Results
symmetry: No. 123
raw formation energy: 1.663 eV/atom
relative energy among the computed polymorphs: 964 meV per atom

=====

Entry 15:
AcNiGe2Ru: relaxed, PBE.

Cell lengths 6.291, 6.291, 6.291 Å; angles 141.10, 141.10, 56.19 degrees
Positions (direct):
Ac 0.000 0.000 0.000
Ni 0.750 0.250 0.500
Ge 0.364 0.364 0.000
Ge 0.636 0.636 0.000
Ru 0.250 0.750 0.500

Results
symmetry: No. 119
ΔH_f (0 K): -582 meV/atom

=====

Size of the total moment
In order: 0.00 0.00 0.03 15.42 0.00 0.00 0.00 7.43 0.00 5.71 0.00 0.00 0.00 1.55 0.00
Unit: μB per formula unit
Mass density
In order: 17.38 7.58 7.79 6.90 8.84 9.01 6.83 7.88 5.36 7.93 10.42 1.81 9.76 4.63 9.07
Unit: Mg/m³